First-principles (PBE) data for a geometry-optimized PrAl2O4 structure, as listed in Alexandria via LeMat-Bulk.

Lattice parameters (Å, degrees): 5.109 5.109 8.365 90.00 90.00 120.79
Fractional positions:
Pr  0.500  0.500  0.250
Pr  0.500  0.500  0.750
Al  0.203  0.791  0.000
Al  0.797  0.209  0.000
Al  0.209  0.797  0.500
Al  0.791  0.203  0.500
O  0.575  0.802  0.000
O  0.425  0.198  0.000
O  0.198  0.425  0.500
O  0.802  0.575  0.500
O  0.500  0.000  0.347
O  0.000  0.500  0.153
O  0.500  0.000  0.653
O  0.000  0.500  0.847

Output
- Symmetry: Cccm (66)
- Total moment: 0.1 μB/cell
- Calculated volume: 13.40 A^3/atom
- Electronic total energy: -7.324 eV per atom
- E_form (uncorrected): -2.74 eV per atom
- E above lowest polymorph: 148 meV per atom

=====

First-principles (PBE) data for a geometry-optimized Pr3Al2O7 structure, as listed in Alexandria via LeMat-Bulk.

Lattice parameters (Å, degrees): 3.767 3.767 10.446 100.39 100.39 90.00
Fractional positions:
Pr  0.314  0.314  0.629
Pr  0.686  0.686  0.371
Pr  0.500  0.500  0.000
Al  0.095  0.095  0.190
Al  0.905  0.905  0.810
O  0.000  0.000  0.000
O  0.905  0.405  0.809
O  0.405  0.905  0.809
O  0.095  0.595  0.191
O  0.595  0.095  0.191
O  0.195  0.195  0.390
O  0.805  0.805  0.610

Output
- Symmetry: I4/mmm (139)
- Total moment: 0.2 μB/cell
- Calculated volume: 11.95 A^3/atom
- Electronic total energy: -7.804 eV per atom
- E_form (uncorrected): -3.09 eV per atom

=====

First-principles (PBE) data for a geometry-optimized PrAl2O4 structure, as listed in Alexandria via LeMat-Bulk.

Lattice parameters (Å, degrees): 6.969 7.496 5.531 80.26 50.96 62.30
Fractional positions:
Pr  0.808  0.500  0.500
Pr  0.118  0.000  0.000
Al  0.402  0.655  0.266
Al  0.323  0.345  0.734
Al  0.832  0.812  0.849
Al  0.493  0.188  0.151
O  0.250  0.219  0.577
O  0.686  0.271  0.459
O  0.045  0.781  0.423
O  0.545  0.412  0.059
O  0.016  0.588  0.941
O  0.416  0.729  0.541
O  0.261  0.225  0.069
O  0.555  0.775  0.931

Output
- Symmetry: C2 (5)
- Total moment: 0.0 μB/cell
- Calculated volume: 13.96 A^3/atom
- Electronic total energy: -7.473 eV per atom
- E_form (uncorrected): -2.89 eV per atom
- E above lowest polymorph: 0 meV per atom

=====

First-principles (PBE) data for a geometry-optimized PrAlPtO6 structure, as listed in Alexandria via LeMat-Bulk.

Lattice parameters (Å, degrees): 5.132 5.132 5.179 90.00 90.00 60.00
Each line ends with the local moment (μB).
Fractional positions:
Pr  0.000  0.000  0.000  0.00
Al  0.667  0.667  0.500  0.00
Pt  0.333  0.333  0.500  0.57
O  0.990  0.370  0.296  0.18
O  0.370  0.990  0.704  0.18
O  0.639  0.370  0.704  0.18
O  0.990  0.639  0.704  0.18
O  0.370  0.639  0.296  0.18
O  0.639  0.990  0.296  0.18

Output
- Symmetry: P312 (149)
- Total moment: 1.9 μB/cell
- Calculated volume: 13.13 A^3/atom
- Electronic total energy: -6.811 eV per atom
- E_form (uncorrected): -1.89 eV per atom

=====

First-principles (PBE) data for a geometry-optimized PrPuAlO6 structure, as listed in Alexandria via LeMat-Bulk.

Lattice parameters (Å, degrees): 5.278 5.278 10.350 90.00 90.00 120.00
Each line ends with the local moment (μB).
Fractional positions:
Pr  0.000  0.000  0.000  0.00
Pr  0.000  0.000  0.500  0.00
Pu  0.333  0.667  0.250  2.45
Pu  0.667  0.333  0.750  2.45
Al  0.667  0.333  0.250  0.00
Al  0.333  0.667  0.750  0.00
O  0.646  0.627  0.145  -0.07
O  0.981  0.354  0.145  -0.07
O  0.354  0.981  0.645  -0.07
O  0.019  0.646  0.855  -0.07
O  0.373  0.354  0.355  -0.07
O  0.981  0.627  0.355  -0.07
O  0.627  0.981  0.855  -0.07
O  0.646  0.019  0.355  -0.07
O  0.019  0.373  0.645  -0.07
O  0.373  0.019  0.145  -0.07
O  0.627  0.646  0.645  -0.07
O  0.354  0.373  0.855  -0.07

Output
- Symmetry: P-31c (163)
- Total moment: 4.0 μB/cell
- Calculated volume: 13.87 A^3/atom
- Electronic total energy: -8.701 eV per atom
- E_form (uncorrected): -2.86 eV per atom

=====

First-principles (PBE) data for a geometry-optimized PrPuAl2O8 structure, as listed in Alexandria via LeMat-Bulk.

Lattice parameters (Å, degrees): 4.773 4.777 7.345 89.89 89.89 78.72
Each line ends with the local moment (μB).
Fractional positions:
Pr  0.000  0.000  0.500  0.00
Pu  0.000  0.000  0.000  1.36
Al  0.499  0.499  0.681  0.00
Al  0.501  0.501  0.319  0.00
O  0.231  0.769  0.226  -0.04
O  0.756  0.757  0.001  -0.07
O  0.770  0.231  0.226  -0.04
O  0.769  0.231  0.774  -0.04
O  0.244  0.243  0.999  -0.07
O  0.230  0.769  0.774  -0.04
O  0.670  0.670  0.500  -0.01
O  0.330  0.330  0.500  -0.01

Output
- Symmetry: C2/m (12)
- Total moment: 1.0 μB/cell
- Calculated volume: 13.69 A^3/atom
- Electronic total energy: -8.216 eV per atom
- E_form (uncorrected): -2.69 eV per atom

=====

> total moment of number 3 (PrAl2O4)?

0.0 μB/cell

=====

> Among the records above, which one has the lowest total moment?

number 3

=====

> Among the records above, which one has the lowest calculated volume?

Pr3Al2O7